The following is a DFT calculation (GGA-PBE) of DyThZnSi after structural relaxation.

a = 7.1812 Å, b = 7.1812 Å, c = 7.1812 Å
α = 90.00°, β = 90.00°, γ = 90.00°
Space group F-43m (No. 216)
Unique sites:
Dy 0.0000 0.0000 0.0000
Th 0.0000 0.0000 0.5000
Zn 0.2500 0.2500 0.7500
Si 0.2500 0.2500 0.2500

Properties
Uncorrected formation energy (eV per atom): -0.37